1.
First-principles (SCAN) data for a crystal of Ag2Sb relaxed with PBEsol, as listed in Alexandria via LeMat-Bulk.

The structure in POSCAR format:
```
Ag2Sb
1.0
-1.550 0.435 3.943
-5.406 -1.035 -2.011
1.212 -9.234 1.495
Ag Sb
8 4
direct
0.750 0.886 0.742
0.750 0.367 0.077
0.250 0.614 0.242
0.250 0.133 0.577
0.250 0.114 0.258
0.250 0.633 0.923
0.750 0.386 0.758
0.750 0.867 0.423
0.250 0.638 0.606
0.750 0.362 0.394
0.750 0.862 0.106
0.250 0.138 0.894
```

Summary:
Total DFT energy (no corrections) = -399.0 eV for the cell shown

=====

2.
First-principles (SCAN) data for a crystal of CaZr2Cr relaxed with PBEsol, as listed in Alexandria via LeMat-Bulk.

The structure in POSCAR format:
```
CaZr2Cr
1.0
-3.050 -0.465 -1.266
1.217 -2.296 -2.090
-1.403 -5.737 5.485
Zr Cr Ca
2 1 1
direct
0.500 0.500 0.204
0.000 0.000 0.964
0.500 0.500 0.795
0.000 0.000 0.538
```

Summary:
E_form = 0.2991 eV per atom

=====

3.
First-principles (SCAN) data for a crystal of KZrSi2S relaxed with PBEsol, as listed in Alexandria via LeMat-Bulk.

The structure in POSCAR format:
```
KZrSi2S
1.0
4.792 0.000 0.000
0.000 5.056 0.000
0.000 0.000 5.056
S Zr Si K
1 1 2 1
direct
0.500 0.500 0.500
0.500 0.000 0.000
0.000 0.500 0.000
0.000 0.000 0.500
0.000 0.000 0.000
```

Summary:
Total DFT energy (no corrections) = -57.3 eV for the cell shown

=====

4.
First-principles (SCAN) data for a crystal of K2ScAgF6 relaxed with PBEsol, as listed in Alexandria via LeMat-Bulk.

The structure in POSCAR format:
```
K2ScAgF6
1.0
-2.573 3.111 4.654
-4.754 -2.430 3.074
0.752 -1.948 5.796
F K Ag Sc
6 2 1 1
direct
0.770 0.230 0.230
0.770 0.770 0.230
0.230 0.230 0.770
0.770 0.230 0.770
0.230 0.770 0.770
0.230 0.770 0.230
0.250 0.250 0.250
0.750 0.750 0.750
0.500 0.500 0.500
0.000 0.000 0.000
```

Summary:
Total DFT energy (no corrections) = -114.6 eV for the cell shown

=====

5.
First-principles (SCAN) data for a crystal of LaFe5H12 relaxed with PBEsol, as listed in Alexandria via LeMat-Bulk.

The structure in POSCAR format:
```
LaFe5H12
1.0
4.158 0.000 0.000
0.000 5.648 0.000
0.000 -2.824 4.891
H Fe La
12 5 1
direct
0.728 0.789 0.578
0.728 0.422 0.211
0.728 0.211 0.422
0.272 0.211 0.789
0.728 0.211 0.789
0.728 0.578 0.789
0.272 0.789 0.211
0.272 0.789 0.578
0.728 0.789 0.211
0.272 0.422 0.211
0.272 0.211 0.422
0.272 0.578 0.789
0.000 0.667 0.333
0.000 0.333 0.667
0.500 0.000 0.500
0.500 0.500 0.000
0.500 0.500 0.500
0.000 0.000 0.000
```

Summary:
Total DFT energy (no corrections) = -176.1 eV for the cell shown

=====

6.
First-principles (SCAN) data for a crystal of MgAg3 relaxed with PBEsol, as listed in Alexandria via LeMat-Bulk.

The structure in POSCAR format:
```
MgAg3
1.0
-1.165 -2.482 -1.225
3.175 -0.345 -2.320
2.592 -3.202 4.022
Ag Mg
3 1
direct
0.000 0.000 0.251
0.500 0.500 0.500
0.000 0.000 0.749
0.500 0.500 0.000
```

Summary:
E_form = -0.1299 eV per atom

=====

7.
First-principles (SCAN) data for a crystal of PmHo3 relaxed with PBEsol, as listed in Alexandria via LeMat-Bulk.

The structure in POSCAR format:
```
PmHo3
1.0
-4.049 -2.092 1.851
0.718 -3.930 -2.871
2.700 -2.093 3.540
Ho Pm
3 1
direct
0.500 0.500 0.000
0.000 0.500 0.500
0.500 0.000 0.500
0.000 0.000 0.000
```

Summary:
E_form = 0.0202 eV per atom

=====

8.
First-principles (SCAN) data for a crystal of BaTcMo2 relaxed with PBEsol, as listed in Alexandria via LeMat-Bulk.

The structure in POSCAR format:
```
BaTcMo2
1.0
3.148 0.000 0.000
0.000 3.548 0.000
0.000 0.000 7.798
Tc Mo Ba
1 2 1
direct
0.500 0.500 0.000
0.000 0.000 0.150
0.000 0.000 0.850
0.500 0.500 0.500
```

Summary:
E_form = 0.7311 eV per atom